The following is a DFT calculation (GGA+U) of a relaxed structure of K2SrCrF6.

Output
M_tot	8.00	μB/cell
N(E_F)	0.0	states/eV/cell
VASP energy	-105.80	eV/cell

Cell: 6.0035 9.4114 6.5311 Å, 90.00 90.00 90.00°
Element x y z (fractional)
K 0.2500 0.0331 0.1988
K 0.2500 0.4669 0.1988
K 0.7500 0.5331 0.8012
K 0.7500 0.9669 0.8012
Sr 0.2500 0.2500 0.7185
Sr 0.7500 0.7500 0.2815
Cr 0.2500 0.7500 0.7766
Cr 0.7500 0.2500 0.2234
F 0.0028 0.7500 0.5635
F 0.0125 0.7500 0.0007
F 0.2500 0.0014 0.7849
F 0.2500 0.4986 0.7849
F 0.4875 0.7500 0.0007
F 0.4972 0.7500 0.5635
F 0.5028 0.2500 0.4365
F 0.5125 0.2500 0.9993
F 0.7500 0.5014 0.2151
F 0.7500 0.9986 0.2151
F 0.9875 0.2500 0.9993
F 0.9972 0.2500 0.4365